The following is a DFT calculation (GGA+U) of an optimized crystal structure of SrMn3O.

Output
polymorph energy (0 for the lowest one): 0 meV/atom
final energy: -5.701 eV/atom
SG: Pm-3m, No. 221

Cell: 4.7403 4.7403 4.7403 Å, 90.00 90.00 90.00°
With the nearest neighbours (Å) after each atom.
Fractional coordinates of all 5 atoms:
Sr 0.0000 0.0000 0.0000  12 Mn 3.35
Mn 0.0000 0.5000 0.5000  2 O 2.37
Mn 0.5000 0.0000 0.5000  2 O 2.37
Mn 0.5000 0.5000 0.0000  2 O 2.37
O 0.5000 0.5000 0.5000  6 Mn 2.37